Record 1
Computed, not measured: a geometry-optimized Li2Sc2In2NiAu structure at the PBE level of DFT.

Its calculated volume is 17.3 A^3/atom. The final energy is -0.321 Ry/atom.

abc: 4.5753 4.5753 6.5989
angles: 90.00 90.00 90.00
Closest atoms and distances in Å follow each position.
Sites, in units of the cell vectors:
Li 0.0000 0.0000 0.0000  4 Sc 2.87, 4 In 2.89
Li 0.5000 0.5000 0.5000  4 In 2.76, 4 Sc 2.77
Sc 0.0000 0.5000 0.7362  4 Li 2.77-2.87, 2 Ni 2.77, 2 Au 2.87, 1 In 3.10
Sc 0.5000 0.0000 0.2638  4 Li 2.77-2.87, 2 Ni 2.77, 2 Au 2.87, 1 In 3.10
In 0.0000 0.5000 0.2668  4 Li 2.76-2.89, 2 Ni 2.76, 2 Au 2.89
In 0.5000 0.0000 0.7332  4 Li 2.76-2.89, 2 Ni 2.76, 2 Au 2.89
Ni 0.0000 0.0000 0.5000  4 In 2.76, 4 Sc 2.77
Au 0.5000 0.5000 0.0000  4 Sc 2.87, 4 In 2.89

=====

Record 2
Computed, not measured: a geometry-optimized LiPmNO structure at the PBE level of DFT.

The value obtained for the energy above the lowest structure with this stoichiometry is 0.0 kJ/mol of atoms. Its calculated volume is 11.6 A^3/atom. The final energy is -0.480 Ry/atom.

abc: 6.7357 5.8419 4.7326
angles: 90.00 90.00 90.00
Closest atoms and distances in Å follow each position.
Sites, in units of the cell vectors:
Li 0.1015 0.0160 0.2500  1 O 1.90, 4 N 2.00-2.03
Li 0.1015 0.4840 0.7500  1 O 1.90, 4 N 2.00-2.03
Li 0.8985 0.5160 0.2500  1 O 1.90, 4 N 2.00-2.03
Li 0.8985 0.9840 0.7500  1 O 1.90, 4 N 2.00-2.03
Pm 0.2919 0.0200 0.7500  4 O 2.31-2.46
Pm 0.2919 0.4800 0.2500  4 O 2.31-2.46
Pm 0.7081 0.5200 0.7500  4 O 2.31-2.46
Pm 0.7081 0.9800 0.2500  4 O 2.31-2.46
N 0.0350 0.7500 0.0000  4 Li 2.00-2.03
N 0.0350 0.7500 0.5000  4 Li 2.00-2.03
N 0.9650 0.2500 0.0000  4 Li 2.00-2.03
N 0.9650 0.2500 0.5000  4 Li 2.00-2.03
O 0.3769 0.0826 0.2500  1 Li 1.90
O 0.3769 0.4174 0.7500  1 Li 1.90
O 0.6231 0.5826 0.2500  1 Li 1.90
O 0.6231 0.9174 0.7500  1 Li 1.90

=====

Record 3
Computed, not measured: a geometry-optimized ScBeFeSi structure at the PBE level of DFT.

The value obtained for the energy above the lowest structure with this stoichiometry is 0.0 kJ/mol of atoms. Its calculated volume is 12.5 A^3/atom. The final energy is -0.456 Ry/atom.

abc: 4.1319 4.1319 4.1319
angles: 60.00 60.00 60.00
Closest atoms and distances in Å follow each position.
Sites, in units of the cell vectors:
Sc 0.0000 0.0000 0.0000  4 Be 2.53, 4 Si 2.53
Be 0.7500 0.7500 0.7500  4 Fe 2.53, 4 Sc 2.53
Fe 0.5000 0.5000 0.5000  4 Be 2.53, 4 Si 2.53
Si 0.2500 0.2500 0.2500  4 Fe 2.53, 4 Sc 2.53

=====

Record 4
Computed, not measured: a geometry-optimized Be2Pd2O5 structure at the PBE level of DFT.

The value obtained for the energy above the lowest structure with this stoichiometry is 87.7 kJ/mol of atoms. Its calculated volume is 11.6 A^3/atom. The final energy is -0.350 Ry/atom.

abc: 3.6976 3.6976 7.6184
angles: 90.00 90.00 90.00
Closest atoms and distances in Å follow each position.
Sites, in units of the cell vectors:
Be 0.0000 0.0000 0.0000  8 O 2.19
Be 0.0000 0.0000 0.5000  4 O 2.61
Pd 0.5000 0.5000 0.2260  5 O 1.93-2.09
Pd 0.5000 0.5000 0.7740  5 O 1.93-2.09
O 0.0000 0.5000 0.1531  2 Pd 1.93
O 0.0000 0.5000 0.8469  2 Pd 1.93
O 0.5000 0.0000 0.1531  2 Pd 1.93
O 0.5000 0.0000 0.8469  2 Pd 1.93
O 0.5000 0.5000 0.5000  2 Pd 2.09

=====

Record 5
Computed, not measured: a geometry-optimized RbGaCo structure at the PBE level of DFT.

The value obtained for the energy above the lowest structure with this stoichiometry is 0.0 kJ/mol of atoms. Its calculated volume is 25.4 A^3/atom. The final energy is -0.201 Ry/atom.

abc: 4.7606 4.7606 4.7606
angles: 60.00 60.00 60.00
Closest atoms and distances in Å follow each position.
Sites, in units of the cell vectors:
Rb 0.0000 0.0000 0.0000  4 Co 2.92
Ga 0.5000 0.5000 0.5000  4 Co 2.92
Co 0.7500 0.7500 0.7500  4 Rb 2.92, 4 Ga 2.92

=====

Record 6
Computed, not measured: a geometry-optimized Zr2ScTe4 structure at the PBE level of DFT.

Its calculated volume is 27.7 A^3/atom. The final energy is -0.453 Ry/atom.

abc: 7.9343 7.9343 7.1677
angles: 116.04 116.04 28.88
Closest atoms and distances in Å follow each position.
Sites, in units of the cell vectors:
Zr 0.2493 0.2493 0.2034  6 Te 2.89-3.11
Zr 0.7507 0.7507 0.7966  6 Te 2.89-3.11
Sc 0.5000 0.5000 0.5000  6 Te 2.88-2.95
Te 0.1335 0.1335 0.4633  2 Sc 2.95, 3 Zr 2.99-3.11
Te 0.3934 0.3934 0.0494  1 Sc 2.88, 3 Zr 2.89-2.90
Te 0.6066 0.6066 0.9506  1 Sc 2.88, 3 Zr 2.89-2.90
Te 0.8665 0.8665 0.5367  2 Sc 2.95, 3 Zr 2.99-3.11

=====

Record 7
Computed, not measured: a geometry-optimized YCd2BrO6 structure at the PBE level of DFT.

Its calculated volume is 13.2 A^3/atom. The final energy is -0.373 Ry/atom.

abc: 5.8096 5.8096 5.8096
angles: 58.05 58.05 58.05
Closest atoms and distances in Å follow each position.
Sites, in units of the cell vectors:
Y 0.0000 0.0000 0.0000  6 O 2.23-2.28
Cd 0.2216 0.2216 0.2216  6 O 2.23-2.49
Cd 0.7311 0.7311 0.7311  3 O 2.23
Br 0.5069 0.5069 0.5069  6 O 1.99-2.03
O 0.1530 0.7641 0.3841  1 Br 2.03, 1 Cd 2.23
O 0.3001 0.6192 0.8550  1 Br 1.99, 1 Cd 2.23
O 0.3841 0.1530 0.7641  1 Br 2.03, 1 Cd 2.23
O 0.6192 0.8550 0.3001  1 Br 1.99, 1 Cd 2.23
O 0.7641 0.3841 0.1530  1 Br 2.03, 1 Cd 2.23
O 0.8550 0.3001 0.6192  1 Br 1.99, 1 Cd 2.23

=====

Record 8
Computed, not measured: a geometry-optimized NdFe3 structure at the PBE level of DFT.

For the energy relative to the elements, the calculation gives 0.508 eV/atom. Its calculated volume is 16.0 A^3/atom. The final energy is -0.508 Ry/atom.

abc: 4.0032 4.0032 4.0032
angles: 90.00 90.00 90.00
Closest atoms and distances in Å follow each position.
Sites, in units of the cell vectors:
Nd 0.0000 0.0000 0.0000  12 Fe 2.83
Fe 0.0000 0.5000 0.5000  8 Fe 2.83, 4 Nd 2.83
Fe 0.5000 0.0000 0.5000  8 Fe 2.83, 4 Nd 2.83
Fe 0.5000 0.5000 0.0000  8 Fe 2.83, 4 Nd 2.83

=====

Record 9
Computed, not measured: a geometry-optimized HfNiAgPb structure at the PBE level of DFT.

Its calculated volume is 18.4 A^3/atom. The final energy is -0.391 Ry/atom.

abc: 4.7007 4.7007 4.7007
angles: 60.00 60.00 60.00
Closest atoms and distances in Å follow each position.
Sites, in units of the cell vectors:
Hf 0.0000 0.0000 0.0000  4 Ag 2.88, 4 Pb 2.88
Ni 0.5000 0.5000 0.5000  4 Pb 2.88, 4 Ag 2.88
Ag 0.7500 0.7500 0.7500  4 Ni 2.88, 4 Hf 2.88
Pb 0.2500 0.2500 0.2500  4 Ni 2.88, 4 Hf 2.88

=====

Record 10
Computed, not measured: a geometry-optimized Nb2BN structure at the PBE level of DFT.

Its calculated volume is 11.2 A^3/atom. The final energy is -0.713 Ry/atom.

abc: 9.1460 9.1460 3.1262
angles: 90.00 90.00 159.95
Closest atoms and distances in Å follow each position.
Sites, in units of the cell vectors:
Nb 0.0726 0.9274 0.7500  1 N 2.19, 6 B 2.38-2.40
Nb 0.3185 0.6815 0.7500  5 N 2.24
Nb 0.6815 0.3185 0.2500  5 N 2.24
Nb 0.9274 0.0726 0.2500  1 N 2.19, 6 B 2.38-2.40
B 0.4731 0.5269 0.7500  2 B 1.84
B 0.5269 0.4731 0.2500  2 B 1.84
N 0.1940 0.8060 0.7500  6 Nb 2.19-2.24
N 0.8060 0.1940 0.2500  6 Nb 2.19-2.24

=====

Record 11
Computed, not measured: a geometry-optimized NaGaSbIr structure at the PBE level of DFT.

The value obtained for the energy above the lowest structure with this stoichiometry is 0.0 kJ/mol of atoms. Its calculated volume is 17.7 A^3/atom. The final energy is -0.325 Ry/atom.

abc: 4.6458 4.6458 4.6458
angles: 60.00 60.00 60.00
Closest atoms and distances in Å follow each position.
Sites, in units of the cell vectors:
Na 0.0000 0.0000 0.0000  4 Ga 2.84, 4 Sb 2.84
Ga 0.7500 0.7500 0.7500  4 Na 2.84, 4 Ir 2.84
Sb 0.2500 0.2500 0.2500  4 Na 2.84, 4 Ir 2.84
Ir 0.5000 0.5000 0.5000  4 Sb 2.84, 4 Ga 2.84

=====

Record 12
Computed, not measured: a geometry-optimized KDyPO structure at the PBE level of DFT.

The value obtained for the energy above the lowest structure with this stoichiometry is 0.0 kJ/mol of atoms. Its calculated volume is 25.1 A^3/atom. The final energy is -0.406 Ry/atom.

abc: 3.4391 7.7172 7.5743
angles: 90.00 90.00 90.00
Closest atoms and distances in Å follow each position.
Sites, in units of the cell vectors:
K 0.0000 0.0477 0.0000  2 O 2.60-2.80
K 0.0000 0.9523 0.5000  2 O 2.60-2.80
Dy 0.5000 0.3765 0.3599  2 O 2.09
Dy 0.5000 0.6235 0.8599  2 O 2.09
P 0.5000 0.2908 0.7195  2 Dy 2.78-2.80
P 0.5000 0.7092 0.2195  2 Dy 2.78-2.80
O 0.0000 0.2435 0.2798  2 Dy 2.09
O 0.0000 0.7565 0.7798  2 Dy 2.09

=====

Record 13
Computed, not measured: a geometry-optimized Hf4Bi3Mo2C3 structure at the PBE level of DFT.

Its calculated volume is 17.6 A^3/atom. The final energy is -0.644 Ry/atom.

abc: 5.9457 5.9457 14.1748
angles: 101.99 101.99 60.16
Closest atoms and distances in Å follow each position.
Sites, in units of the cell vectors:
Hf 0.0257 0.1961 0.0833  3 C 2.28
Hf 0.1406 0.3057 0.4167  3 C 2.27-2.29
Hf 0.1961 0.0257 0.5833  3 C 2.28
Hf 0.3057 0.1406 0.9167  3 C 2.27-2.29
Hf 0.6943 0.8594 0.0833  3 C 2.27-2.29
Hf 0.8039 0.9743 0.4167  3 C 2.28
Hf 0.8594 0.6943 0.5833  3 C 2.27-2.29
Hf 0.9743 0.8039 0.9167  3 C 2.28
Bi 0.0981 0.9019 0.2500  4 Hf 3.06-3.07, 2 Mo 3.14, 2 Bi 3.30
Bi 0.2611 0.4171 0.7489  4 Hf 3.05-3.06, 2 Mo 3.13-3.16, 2 Bi 3.30
Bi 0.4171 0.2611 0.2489  4 Hf 3.05-3.06, 2 Mo 3.13-3.16, 2 Bi 3.30
Bi 0.5829 0.7389 0.7511  4 Hf 3.05-3.06, 2 Mo 3.13-3.16, 2 Bi 3.30
Bi 0.7389 0.5829 0.2511  4 Hf 3.05-3.06, 2 Mo 3.13-3.16, 2 Bi 3.30
Bi 0.9019 0.0981 0.7500  4 Hf 3.06-3.07, 2 Mo 3.14, 2 Bi 3.30
Mo 0.3562 0.5231 0.0683  3 C 2.20-2.22
Mo 0.4769 0.6438 0.4317  3 C 2.20-2.22
Mo 0.5231 0.3562 0.5683  3 C 2.20-2.22
Mo 0.6438 0.4769 0.9317  3 C 2.20-2.22
C 0.0000 0.5000 0.0000  2 Mo 2.20, 4 Hf 2.28-2.29
C 0.1614 0.6693 0.5002  2 Mo 2.21-2.22, 4 Hf 2.27-2.29
C 0.3307 0.8386 0.9998  2 Mo 2.21-2.22, 4 Hf 2.27-2.29
C 0.5000 0.0000 0.5000  2 Mo 2.20, 4 Hf 2.28-2.29
C 0.6693 0.1614 0.0002  2 Mo 2.21-2.22, 4 Hf 2.27-2.29
C 0.8386 0.3307 0.4998  2 Mo 2.21-2.22, 4 Hf 2.27-2.29

=====

Record 14
Computed, not measured: a geometry-optimized ErN2 structure at the PBE level of DFT.

Its calculated volume is 42.9 A^3/atom. The final energy is -0.448 Ry/atom.

abc: 7.1418 7.1418 7.1418
angles: 60.00 60.00 60.00
Closest atoms and distances in Å follow each position.
Sites, in units of the cell vectors:
Er 0.1250 0.1250 0.1250  4 N 2.19
Er 0.8750 0.8750 0.8750  4 N 2.19
N 0.0000 0.0000 0.0000  2 Er 2.19
N 0.0000 0.0000 0.5000  2 Er 2.19
N 0.0000 0.5000 0.0000  2 Er 2.19
N 0.5000 0.0000 0.0000  2 Er 2.19

=====

Record 15
Computed, not measured: a geometry-optimized YInCoIr structure at the PBE level of DFT.

The value obtained for the energy above the lowest structure with this stoichiometry is 0.0 kJ/mol of atoms. Its calculated volume is 17.5 A^3/atom. The final energy is -0.484 Ry/atom.

abc: 4.6258 4.6258 4.6258
angles: 60.00 60.00 60.00
Closest atoms and distances in Å follow each position.
Sites, in units of the cell vectors:
Y 0.0000 0.0000 0.0000  4 Co 2.83, 4 Ir 2.83
In 0.5000 0.5000 0.5000  4 Co 2.83, 4 Ir 2.83
Co 0.7500 0.7500 0.7500  4 In 2.83, 4 Y 2.83
Ir 0.2500 0.2500 0.2500  4 In 2.83, 4 Y 2.83

=====

Record 16
Computed, not measured: a geometry-optimized Li2YNi structure at the PBE level of DFT.

Its calculated volume is 17.4 A^3/atom. The final energy is -0.292 Ry/atom.

abc: 4.6165 4.6165 4.6165
angles: 60.00 60.00 60.00
Closest atoms and distances in Å follow each position.
Sites, in units of the cell vectors:
Li 0.0000 0.0000 0.0000  4 Li 2.83, 4 Ni 2.83
Li 0.2500 0.2500 0.2500  4 Y 2.83, 4 Li 2.83
Y 0.5000 0.5000 0.5000  4 Ni 2.83, 4 Li 2.83
Ni 0.7500 0.7500 0.7500  4 Y 2.83, 4 Li 2.83

=====

Record 17
Computed, not measured: a geometry-optimized ZnAgPt2 structure at the PBE level of DFT.

For the energy relative to the elements, the calculation gives -0.135 eV/atom. Its calculated volume is 15.9 A^3/atom. The final energy is -0.308 Ry/atom.

abc: 4.4844 4.4844 4.4844
angles: 60.00 60.00 60.00
Closest atoms and distances in Å follow each position.
Sites, in units of the cell vectors:
Zn 0.0000 0.0000 0.0000  4 Pt 2.75, 4 Ag 2.75
Ag 0.2500 0.2500 0.2500  4 Pt 2.75, 4 Zn 2.75
Pt 0.5000 0.5000 0.5000  4 Pt 2.75, 4 Ag 2.75
Pt 0.7500 0.7500 0.7500  4 Pt 2.75, 4 Zn 2.75

=====

Record 18
Computed, not measured: a geometry-optimized Sm2Ho2CF5 structure at the PBE level of DFT.

Its calculated volume is 15.4 A^3/atom. The final energy is -0.470 Ry/atom.

abc: 7.6824 7.6824 6.8327
angles: 116.25 116.25 25.30
Closest atoms and distances in Å follow each position.
Sites, in units of the cell vectors:
Sm 0.1858 0.1858 0.1860  6 F 2.45-2.56, 1 C 2.48
Sm 0.8142 0.8142 0.8140  6 F 2.45-2.56, 1 C 2.48
Ho 0.4998 0.4998 0.2388  4 F 2.28-2.45, 2 C 2.34
Ho 0.5002 0.5002 0.7612  4 F 2.28-2.45, 2 C 2.34
C 0.0000 0.0000 0.0000  4 Ho 2.34, 2 Sm 2.48
F 0.0000 0.0000 0.5000  4 Ho 2.45
F 0.3306 0.3306 0.1114  1 Ho 2.28, 1 Sm 2.45
F 0.3309 0.3309 0.5505  1 Ho 2.28, 1 Sm 2.45
F 0.6691 0.6691 0.4495  1 Ho 2.28, 1 Sm 2.45
F 0.6694 0.6694 0.8886  1 Ho 2.28, 1 Sm 2.45

=====

Record 19
Computed, not measured: a geometry-optimized TbTmH4 structure at the PBE level of DFT.

Its calculated volume is 11.2 A^3/atom. The final energy is -0.328 Ry/atom.

abc: 3.6263 3.6263 5.1212
angles: 90.00 90.00 90.00
Closest atoms and distances in Å follow each position.
Sites, in units of the cell vectors:
Tb 0.0000 0.0000 0.0000  8 H 2.24
Tm 0.5000 0.5000 0.5000  8 H 2.20
H 0.0000 0.5000 0.2577  2 Tm 2.20, 2 Tb 2.24
H 0.0000 0.5000 0.7423  2 Tm 2.20, 2 Tb 2.24
H 0.5000 0.0000 0.2577  2 Tm 2.20, 2 Tb 2.24
H 0.5000 0.0000 0.7423  2 Tm 2.20, 2 Tb 2.24

=====

Record 20
Computed, not measured: a geometry-optimized ZrCoSiMo structure at the PBE level of DFT.

The value obtained for the energy above the lowest structure with this stoichiometry is 0.0 kJ/mol of atoms. Its calculated volume is 14.8 A^3/atom. The final energy is -0.597 Ry/atom.

abc: 4.3785 4.3785 4.3785
angles: 60.00 60.00 60.00
Closest atoms and distances in Å follow each position.
Sites, in units of the cell vectors:
Zr 0.0000 0.0000 0.0000  4 Mo 2.68, 4 Co 2.68
Co 0.2500 0.2500 0.2500  4 Zr 2.68, 4 Si 2.68
Si 0.5000 0.5000 0.5000  4 Mo 2.68, 4 Co 2.68
Mo 0.7500 0.7500 0.7500  4 Zr 2.68, 4 Si 2.68